Material: PaInHgBr6
Method: DFT, PBE
State: optimized geometry

Results
**V**: 48.70 Å³/atom
**ΔE_f (raw)**: -1.12 eV/atom

```
data_PaInHgBr6
_cell_length_a 8.0952
_cell_length_b 8.0952
_cell_length_c 15.4466
_cell_angle_alpha 90.00
_cell_angle_beta 90.00
_cell_angle_gamma 120.00
_space_group_name_H-M_alt 'P -3 1 c'
_space_group_IT_number 163
_space_group_name_Hall '-P 3 2c'
loop_
_atom_site_label
_atom_site_fract_x
_atom_site_fract_y
_atom_site_fract_z
Pa1 0.3333 0.6667 0.2500
In1 0.3333 0.6667 0.7500
Hg1 0.0000 0.0000 0.0000
Br1 0.0499 0.3990 0.1483
```

=====

Material: In2HgPbBr4
Method: DFT, PBE
State: optimized geometry

Results
**V**: 35.05 Å³/atom
**ΔE_f (raw)**: -0.67 eV/atom

```
data_In2HgPbBr4
_cell_length_a 14.0621
_cell_length_b 4.5266
_cell_length_c 9.6009
_cell_angle_alpha 90.00
_cell_angle_beta 113.42
_cell_angle_gamma 90.00
_space_group_name_H-M_alt 'C 1 2/m 1'
_space_group_IT_number 12
loop_
_space_group_symop_operation_xyz
'x,y,z'
'-x,-y,-z'
'-x,y,-z'
'x,-y,z'
'x+1/2,y+1/2,z'
'-x+1/2,-y+1/2,-z'
'-x+1/2,y+1/2,-z'
'x+1/2,-y+1/2,z'
loop_
_atom_site_label
_atom_site_fract_x
_atom_site_fract_y
_atom_site_fract_z
In1 0.1926 0.0000 0.1976
Hg1 0.0000 0.5000 0.0000
Pb1 0.0000 0.0000 0.5000
Br1 0.1255 0.5000 0.4378
Br2 0.1601 0.0000 0.8255
```